A plane-wave DFT calculation with PBE was carried out for an optimized crystal structure of Mg2Be2Sb.

Summary:
Density of states at the Fermi level (states/eV/atom): 0.301
Calculated total energy (eV/atom): -2.686

Cell lengths 7.121, 7.121, 3.378 Å; angles 90.00, 90.00, 90.00 degrees
Fractional coordinates of all 10 atoms:
Mg: 0.172 0.328 0.000
Mg: 0.328 0.828 0.000
Mg: 0.672 0.172 0.000
Mg: 0.828 0.672 0.000
Be: 0.110 0.610 0.500
Be: 0.390 0.110 0.500
Be: 0.610 0.890 0.500
Be: 0.890 0.390 0.500
Sb: 0.000 0.000 0.500
Sb: 0.500 0.500 0.500